# DyHo3Er2S6 | Alexandria via LeMat-Bulk | PBE | relaxed
data_DyHo3Er2S6
_symmetry_space_group_name_H-M 'P 1'
_symmetry_Int_Tables_number 1
_symmetry_space_group_name_Hall 'P 1'
_cell_length_a 6.7261
_cell_length_b 6.7261
_cell_length_c 6.7213
_cell_angle_alpha 99.56
_cell_angle_beta 99.56
_cell_angle_gamma 120.23
loop_
_atom_site_label
_atom_site_fract_x
_atom_site_fract_y
_atom_site_fract_z
Dy1 0.0000 0.0000 0.0000
Ho1 0.1654 0.8346 0.5000
Ho2 0.8346 0.1654 0.5000
Ho3 0.5000 0.5000 0.5000
Er1 0.3336 0.6664 0.0000
Er2 0.6664 0.3336 0.0000
S1 0.9169 0.5810 0.7504
S2 0.7472 0.7472 0.2488
S3 0.0831 0.4190 0.2496
S4 0.5810 0.9169 0.7504
S5 0.2528 0.2528 0.7512
S6 0.4190 0.0831 0.2496
# raw formation energy = -1973.9 meV per atom
# space group = C2/m (12)
# D(E_F) = 4.77 states/eV/f.u.